1.
The following is a PBE-GGA calculation of a geometry-optimized CsNa4Au structure, from Alexandria via LeMat-Bulk.

Properties
For the uncorrected energy, the calculation gives -1.668 eV/atom. The value obtained for the calculated formation energy is -0.101 eV per atom. As for the magnetization: 0.00 μB/cell.

Cell: 6.3792 8.0543 11.7915 Å, 109.97 105.69 90.00°
Last column: nearest neighbours and their distance in Å.
Fractional positions:
1 Na 0.5837 0.3321 0.1682  2 Au 3.06
2 Na 0.4163 0.1639 0.8318  2 Au 3.06
3 Na 0.0000 0.2024 0.0000  2 Au 2.98, 1 Na 3.26
4 Na 0.5837 0.8361 0.1682  2 Au 3.06
5 Na 0.0000 0.7976 0.0000  2 Au 2.98, 1 Na 3.26
6 Na 0.8841 0.3838 0.7676  2 Au 3.03-3.04
7 Na 0.1159 0.6162 0.2324  2 Au 3.03-3.04
8 Na 0.4163 0.6679 0.8318  2 Au 3.06
9 Au 0.2767 0.4999 0.9999  1 Au 2.85, 8 Na 2.98-3.06
10 Au 0.7233 0.5001 0.0001  1 Au 2.85, 8 Na 2.98-3.06
11 Cs 0.2161 0.2165 0.4331  12 Na 4.56-4.88
12 Cs 0.7839 0.7835 0.5669  12 Na 4.56-4.88

=====

2.
The following is a PBE-GGA calculation of a geometry-optimized ScSi3As structure, from Alexandria via LeMat-Bulk.

Properties
For the uncorrected energy, the calculation gives -4.696 eV/atom. The calculation puts the formation energy without anion corrections at 0.754 eV per atom. The calculation puts the polymorph energy (0 for the lowest one) at 0 meV per atom. As for the magnetization: 0.00 μB/cell.

Cell: 4.7782 4.7782 4.7782 Å, 90.00 90.00 90.00°
Last column: nearest neighbours and their distance in Å.
Fractional positions:
1 Sc 0.5000 0.5000 0.5000  12 Si 3.38
2 Si 0.5000 0.0000 0.0000  2 As 2.39
3 Si 0.0000 0.5000 0.0000  2 As 2.39
4 Si 0.0000 0.0000 0.5000  2 As 2.39
5 As 0.0000 0.0000 0.0000  6 Si 2.39

=====

3.
The following is a PBE-GGA calculation of a geometry-optimized Ca2YAg structure, from Alexandria via LeMat-Bulk.

Properties
For the uncorrected energy, the calculation gives -3.397 eV/atom. The value obtained for the calculated formation energy is -0.067 eV per atom. The calculation puts the polymorph energy (0 for the lowest one) at 51 meV per atom. As for the magnetization: 0.65 μB/cell.

Cell: 3.6421 3.6204 10.1433 Å, 69.10 90.00 90.00°
Last column: nearest neighbours and their distance in Å.
Fractional positions:
1 Ca 0.0000 0.4531 0.5466  4 Ag 3.21
2 Ca 0.0000 0.0469 0.9534  4 Ag 3.21
3 Y 0.5000 0.2500 0.2500  4 Y 3.62-3.64, 8 Ca 3.81
4 Ag 0.5000 0.7500 0.7500  8 Ca 3.21

=====

4.
The following is a PBE-GGA calculation of a geometry-optimized AcNd4Ho8 structure, from Alexandria via LeMat-Bulk.

Properties
For the uncorrected energy, the calculation gives -4.068 eV/atom. The value obtained for the calculated formation energy is 0.532 eV per atom. As for the magnetization: 2.43 μB/cell.

Cell: 7.8787 7.8786 7.8786 Å, 90.08 90.08 90.08°
Last column: nearest neighbours and their distance in Å.
Fractional positions:
1 Nd 0.0000 0.5000 0.5000  8 Ho 3.47-3.48
2 Nd 0.5000 0.0000 0.5000  8 Ho 3.47-3.48
3 Nd 0.5000 0.5000 0.0000  8 Ho 3.47-3.48
4 Nd 0.0000 0.0000 0.0000  8 Ho 3.23
5 Ho 0.7631 0.7631 0.7631  4 Nd 3.23-3.48, 1 Ac 3.59
6 Ho 0.7634 0.2376 0.7634  4 Nd 3.23-3.48, 1 Ac 3.59
7 Ho 0.2366 0.2366 0.7624  4 Nd 3.23-3.48, 1 Ac 3.59
8 Ho 0.2366 0.7624 0.2366  4 Nd 3.23-3.48, 1 Ac 3.59
9 Ho 0.2376 0.7634 0.7634  4 Nd 3.23-3.48, 1 Ac 3.59
10 Ho 0.7624 0.2366 0.2366  4 Nd 3.23-3.48, 1 Ac 3.59
11 Ho 0.7634 0.7634 0.2376  4 Nd 3.23-3.48, 1 Ac 3.59
12 Ho 0.2369 0.2369 0.2369  4 Nd 3.23-3.48, 1 Ac 3.59
13 Ac 0.5000 0.5000 0.5000  8 Ho 3.59, 6 Nd 3.94

=====

5.
The following is a PBE-GGA calculation of a geometry-optimized PuTc2Ge2 structure, from Alexandria via LeMat-Bulk.

Properties
For the uncorrected energy, the calculation gives -9.114 eV/atom. The value obtained for the calculated formation energy is -0.254 eV per atom. The calculation puts the polymorph energy (0 for the lowest one) at 54 meV per atom. As for the magnetization: 4.35 μB/cell.

Cell: 3.3863 4.5567 6.3579 Å, 111.00 105.44 90.00°
Last column: nearest neighbours and their distance in Å.
Fractional positions:
1 Tc 0.7208 0.2208 0.4416  4 Ge 2.52-2.58
2 Tc 0.2792 0.7792 0.5584  4 Ge 2.52-2.58
3 Pu 0.0000 0.0000 0.0000  4 Tc 3.03, 8 Ge 3.12, 2 Pu 3.39
4 Ge 0.3852 0.3852 0.7704  4 Tc 2.52-2.58, 1 Ge 2.61
5 Ge 0.6148 0.6148 0.2296  4 Tc 2.52-2.58, 1 Ge 2.61

=====

Number 1: calculated volume 45.4 A^3/atom. Number 2: calculated volume 21.8 A^3/atom. Number 3: calculated volume 31.2 A^3/atom. Number 4: calculated volume 37.6 A^3/atom. Number 5: calculated volume 17.6 A^3/atom.